This record from Alexandria via LeMat-Bulk describes Zr5Ga2Pd12 after structural relaxation. The functional is PBE.

abc: 14.4208 6.7649 7.1362
angles: 90.00 106.46 90.00
Space group C2/m (No. 12)
Unique sites:
Zr1 0.0000 0.0000 0.0000
Zr2 0.1909 0.5000 0.7234
Zr3 0.2437 0.5000 0.2589
Ga1 0.0000 0.3101 0.5000
Pd1 0.0015 0.5000 0.1886
Pd2 0.0634 0.0000 0.6767
Pd3 0.1499 0.2060 0.3948
Pd4 0.1555 0.2218 0.9982

Output
DFT formation energy, meV/atom: -589
Density of states at the Fermi level, states/eV per cell: 20.82